[1]
# Na4HgO (PBE-GGA, optimized geometry)
# Density = 3.33 g/cm³
# Formation energy from raw total energies = -3.50 eV per formula unit
# Crystal system = monoclinic
# Calculated volume = 615.1 Å³/cell
# Energy relative to the lowest polymorph listed for this composition = 0 meV per atom
data_Na4HgO
_chemical_formula_sum 'Na16 Hg4 O4'
_cell_length_a 16.845
_cell_length_b 6.716
_cell_length_c 5.772
_cell_angle_alpha 90.00
_cell_angle_beta 109.60
_cell_angle_gamma 90.00
_symmetry_space_group_name_H-M 'C 1 2/m 1'
_symmetry_Int_Tables_number 12
loop_
_symmetry_equiv_pos_as_xyz
'x,y,z'
'-x,-y,-z'
'-x,y,-z'
'x,-y,z'
'x+1/2,y+1/2,z'
'-x+1/2,-y+1/2,-z'
'-x+1/2,y+1/2,-z'
'x+1/2,-y+1/2,z'
loop_
_atom_site_label
_atom_site_type_symbol
_atom_site_fract_x
_atom_site_fract_y
_atom_site_fract_z
Na1 Na 0.000 0.211 0.000
Na2 Na 0.111 0.237 0.640
Na3 Na 0.198 0.000 0.157
Hg1 Hg 0.185 0.500 0.230
O1 O 0.076 0.000 0.851

=====

[2]
# Na5HgO3 (PBE-GGA, optimized geometry)
# Density = 3.77 g/cm³
# Formation energy from raw total energies = -9.18 eV per formula unit
# Crystal system = monoclinic
# Calculated volume = 639.9 Å³/cell
data_Na5HgO3
_chemical_formula_sum 'Na20 Hg4 O12'
_cell_length_a 10.625
_cell_length_b 7.546
_cell_length_c 8.607
_cell_angle_alpha 90.00
_cell_angle_beta 112.01
_cell_angle_gamma 90.00
_symmetry_space_group_name_H-M 'C 1 2/m 1'
_symmetry_Int_Tables_number 12
loop_
_symmetry_equiv_pos_as_xyz
'x,y,z'
'-x,-y,-z'
'-x,y,-z'
'x,-y,z'
'x+1/2,y+1/2,z'
'-x+1/2,-y+1/2,-z'
'-x+1/2,y+1/2,-z'
'x+1/2,-y+1/2,z'
loop_
_atom_site_label
_atom_site_type_symbol
_atom_site_fract_x
_atom_site_fract_y
_atom_site_fract_z
Na1 Na 0.000 0.190 0.000
Na2 Na 0.074 0.000 0.375
Na3 Na 0.166 0.307 0.672
Na4 Na 0.230 0.500 0.033
Hg1 Hg 0.110 0.500 0.305
O1 O 0.000 0.500 0.000
O2 O 0.000 0.500 0.500
O3 O 0.157 0.000 0.677
O4 O 0.169 0.000 0.164

=====

[3]
# NaHg2O (PBE-GGA, optimized geometry)
# Density = 8.68 g/cm³
# Formation energy from raw total energies = -1.51 eV per formula unit
# Crystal system = tetragonal
# Calculated volume = 336.9 Å³/cell
data_NaHg2O
_chemical_formula_sum 'Na4 Hg8 O4'
_cell_length_a 8.443
_cell_length_b 8.443
_cell_length_c 4.727
_cell_angle_alpha 90.00
_cell_angle_beta 90.00
_cell_angle_gamma 90.00
_symmetry_space_group_name_H-M 'I -4 2 d'
_symmetry_Int_Tables_number 122
_symmetry_space_group_name_Hall 'I -4 2bw'
loop_
_atom_site_label
_atom_site_type_symbol
_atom_site_fract_x
_atom_site_fract_y
_atom_site_fract_z
Na1 Na 0.000 0.000 0.000
Hg1 Hg 0.154 0.250 0.625
O1 O 0.000 0.000 0.500

=====

[4]
# NaHgO2 (PBE-GGA, optimized geometry)
# Density = 7.37 g/cm³
# Formation energy from raw total energies = -2.13 eV per formula unit
# Crystal system = trigonal
# Calculated volume = 172.7 Å³/cell
data_NaHgO2
_chemical_formula_sum 'Na3 Hg3 O6'
_cell_length_a 3.4042
_cell_length_b 3.4042
_cell_length_c 17.2106
_cell_angle_alpha 90.00
_cell_angle_beta 90.00
_cell_angle_gamma 120.00
_symmetry_space_group_name_H-M 'R 3 m'
_symmetry_Int_Tables_number 160
_symmetry_space_group_name_Hall 'R 3 -2"'
loop_
_atom_site_label
_atom_site_type_symbol
_atom_site_fract_x
_atom_site_fract_y
_atom_site_fract_z
Na1 Na 0.0000 0.0000 0.0000
Hg1 Hg 0.0000 0.0000 0.8268
O1 O 0.0000 0.0000 0.2360
O2 O 0.0000 0.0000 0.4179

=====

[5]
# Na12Hg3O5 (PBE-GGA, optimized geometry)
# Density = 3.46 g/cm³
# Formation energy from raw total energies = -15.77 eV per formula unit
# Crystal system = cubic
# Calculated volume = 3678.1 Å³/cell
data_Na12Hg3O5
_chemical_formula_sum 'Na96 Hg24 O40'
_cell_length_a 15.436
_cell_length_b 15.436
_cell_length_c 15.436
_cell_angle_alpha 90.00
_cell_angle_beta 90.00
_cell_angle_gamma 90.00
_symmetry_space_group_name_H-M 'I a -3 d'
_symmetry_Int_Tables_number 230
_symmetry_space_group_name_Hall '-I 4bd 2c 3'
loop_
_atom_site_label
_atom_site_type_symbol
_atom_site_fract_x
_atom_site_fract_y
_atom_site_fract_z
Na1 Na 0.038 0.140 0.957
Hg1 Hg 0.000 0.250 0.125
O1 O 0.000 0.000 0.000
O2 O 0.000 0.250 0.375

=====

[6]
# Na2HgO (PBE-GGA, optimized geometry)
# Density = 5.81 g/cm³
# Formation energy from raw total energies = -1.86 eV per formula unit
# Crystal system = cubic
# Calculated volume = 300.4 Å³/cell
# Energy relative to the lowest polymorph listed for this composition = 366 meV per atom
data_Na2HgO
_chemical_formula_sum 'Na8 Hg4 O4'
_cell_length_a 6.697
_cell_length_b 6.697
_cell_length_c 6.697
_cell_angle_alpha 90.00
_cell_angle_beta 90.00
_cell_angle_gamma 90.00
_symmetry_space_group_name_H-M 'F m -3 m'
_symmetry_Int_Tables_number 225
_symmetry_space_group_name_Hall '-F 4 2 3'
loop_
_atom_site_label
_atom_site_type_symbol
_atom_site_fract_x
_atom_site_fract_y
_atom_site_fract_z
Na1 Na 0.250 0.250 0.250
Hg1 Hg 0.000 0.000 0.000
O1 O 0.000 0.000 0.500

=====

[7]
# Na4Hg2O (PBE-GGA, optimized geometry)
# Density = 4.90 g/cm³
# Formation energy from raw total energies = -4.04 eV per formula unit
# Crystal system = tetragonal
# Calculated volume = 345.3 Å³/cell
data_Na4Hg2O
_chemical_formula_sum 'Na8 Hg4 O2'
_cell_length_a 4.544
_cell_length_b 4.544
_cell_length_c 16.727
_cell_angle_alpha 90.00
_cell_angle_beta 90.00
_cell_angle_gamma 90.00
_symmetry_space_group_name_H-M 'I 4/m m m'
_symmetry_Int_Tables_number 139
_symmetry_space_group_name_Hall '-I 4 2'
loop_
_atom_site_label
_atom_site_type_symbol
_atom_site_fract_x
_atom_site_fract_y
_atom_site_fract_z
Na1 Na 0.000 0.000 0.138
Na2 Na 0.000 0.500 0.000
Hg1 Hg 0.000 0.000 0.324
O1 O 0.000 0.000 0.000

=====

[8]
# Na8Hg3O (PBE-GGA, optimized geometry)
# Density = 4.05 g/cm³
# Formation energy from raw total energies = -4.66 eV per formula unit
# Crystal system = hexagonal
# Calculated volume = 657.9 Å³/cell
data_Na8Hg3O
_chemical_formula_sum 'Na16 Hg6 O2'
_cell_length_a 9.3265
_cell_length_b 9.3265
_cell_length_c 8.7340
_cell_angle_alpha 90.00
_cell_angle_beta 90.00
_cell_angle_gamma 120.00
_symmetry_space_group_name_H-M 'P 63 m c'
_symmetry_Int_Tables_number 186
_symmetry_space_group_name_Hall 'P 6c -2c'
loop_
_atom_site_label
_atom_site_type_symbol
_atom_site_fract_x
_atom_site_fract_y
_atom_site_fract_z
Na1 Na 0.0000 0.0000 0.1403
Na2 Na 0.0995 0.5498 0.2084
Na3 Na 0.2142 0.4284 0.5000
Na4 Na 0.3333 0.6667 0.8542
Hg1 Hg 0.1448 0.2897 0.8849
O1 O 0.3333 0.6667 0.3553

=====

[9]
# Na5HgO4 (PBE-GGA, optimized geometry)
# Density = 3.86 g/cm³
# Formation energy from raw total energies = -9.94 eV per formula unit
# Crystal system = orthorhombic
# Calculated volume = 326.6 Å³/cell
data_Na5HgO4
_chemical_formula_sum 'Na10 Hg2 O8'
_cell_length_a 7.610
_cell_length_b 7.925
_cell_length_c 5.415
_cell_angle_alpha 90.00
_cell_angle_beta 90.00
_cell_angle_gamma 90.00
_symmetry_space_group_name_H-M 'P m m n'
_symmetry_Int_Tables_number 59
loop_
_symmetry_equiv_pos_as_xyz
'x,y,z'
'-x,-y,-z'
'-x+1/2,-y+1/2,z'
'x+1/2,y+1/2,-z'
'x+1/2,-y,-z'
'-x+1/2,y,z'
'-x,y+1/2,-z'
'x,-y+1/2,z'
loop_
_atom_site_label
_atom_site_type_symbol
_atom_site_fract_x
_atom_site_fract_y
_atom_site_fract_z
Na1 Na 0.009 0.053 0.246
Na2 Na 0.250 0.750 0.314
Hg1 Hg 0.250 0.250 0.718
O1 O 0.004 0.750 0.078
O2 O 0.250 0.000 0.525

=====

[10]
# NaHgO2 (PBE-GGA, optimized geometry)
# Density = 7.59 g/cm³
# Formation energy from raw total energies = -1.78 eV per formula unit
# Crystal system = orthorhombic
# Calculated volume = 223.7 Å³/cell
data_NaHgO2
_chemical_formula_sum 'Na4 Hg4 O8'
_cell_length_a 3.191
_cell_length_b 11.704
_cell_length_c 5.990
_cell_angle_alpha 90.00
_cell_angle_beta 90.00
_cell_angle_gamma 90.00
_symmetry_space_group_name_H-M 'C m c m'
_symmetry_Int_Tables_number 63
_symmetry_space_group_name_Hall '-C 2c 2'
loop_
_atom_site_label
_atom_site_type_symbol
_atom_site_fract_x
_atom_site_fract_y
_atom_site_fract_z
Na1 Na 0.000 0.035 0.250
Hg1 Hg 0.000 0.223 0.750
O1 O 0.000 0.369 0.006

=====

[11]
# NaHgO (PBE-GGA, optimized geometry)
# Density = 6.35 g/cm³
# Formation energy from raw total energies = -1.90 eV per formula unit
# Crystal system = orthorhombic
# Calculated volume = 250.5 Å³/cell
# Energy relative to the lowest polymorph listed for this composition = 94 meV per atom
data_NaHgO
_chemical_formula_sum 'Na4 Hg4 O4'
_cell_length_a 6.487
_cell_length_b 6.215
_cell_length_c 6.213
_cell_angle_alpha 90.00
_cell_angle_beta 90.00
_cell_angle_gamma 90.00
_symmetry_space_group_name_H-M 'A m a 2'
_symmetry_Int_Tables_number 40
loop_
_symmetry_equiv_pos_as_xyz
'x,y,z'
'-x,-y,z'
'-x+1/2,y,z'
'x+1/2,-y,z'
'x,y+1/2,z+1/2'
'-x,-y+1/2,z+1/2'
'-x+1/2,y+1/2,z+1/2'
'x+1/2,-y+1/2,z+1/2'
loop_
_atom_site_label
_atom_site_type_symbol
_atom_site_fract_x
_atom_site_fract_y
_atom_site_fract_z
Na1 Na 0.000 0.000 0.000
Hg1 Hg 0.250 0.002 0.498
O1 O 0.250 0.253 0.746

=====

[12]
# Na12Hg6O (PBE-GGA, optimized geometry)
# Density = 4.71 g/cm³
# Formation energy from raw total energies = -6.27 eV per formula unit
# Crystal system = trigonal
# Calculated volume = 1582.8 Å³/cell
data_Na12Hg6O
_chemical_formula_sum 'Na36 Hg18 O3'
_cell_length_a 11.1889
_cell_length_b 11.1889
_cell_length_c 14.5985
_cell_angle_alpha 90.00
_cell_angle_beta 90.00
_cell_angle_gamma 120.00
_symmetry_space_group_name_H-M 'R -3'
_symmetry_Int_Tables_number 148
_symmetry_space_group_name_Hall '-R 3'
loop_
_atom_site_label
_atom_site_type_symbol
_atom_site_fract_x
_atom_site_fract_y
_atom_site_fract_z
Na1 Na 0.0266 0.8367 0.3231
Na2 Na 0.0491 0.1899 0.9129
Hg1 Hg 0.0427 0.6047 0.1984
O1 O 0.0000 0.0000 0.0000

=====

[13]
# Na2HgO (PBE-GGA, optimized geometry)
# Density = 3.62 g/cm³
# Formation energy from raw total energies = -2.98 eV per formula unit
# Crystal system = tetragonal
# Calculated volume = 481.8 Å³/cell
# Energy relative to the lowest polymorph listed for this composition = 86 meV per atom
data_Na2HgO
_chemical_formula_sum 'Na8 Hg4 O4'
_cell_length_a 6.989
_cell_length_b 6.989
_cell_length_c 9.862
_cell_angle_alpha 90.00
_cell_angle_beta 90.00
_cell_angle_gamma 90.00
_symmetry_space_group_name_H-M 'I -4 2 d'
_symmetry_Int_Tables_number 122
_symmetry_space_group_name_Hall 'I -4 2bw'
loop_
_atom_site_label
_atom_site_type_symbol
_atom_site_fract_x
_atom_site_fract_y
_atom_site_fract_z
Na1 Na 0.041 0.250 0.125
Hg1 Hg 0.000 0.000 0.500
O1 O 0.000 0.000 0.000

=====

[14]
# NaHgO2 (PBE-GGA, optimized geometry)
# Density = 6.52 g/cm³
# Formation energy from raw total energies = -2.04 eV per formula unit
# Crystal system = trigonal
# Calculated volume = 195.2 Å³/cell
data_NaHgO2
_chemical_formula_sum 'Na3 Hg3 O6'
_cell_length_a 3.3899
_cell_length_b 3.3899
_cell_length_c 19.6163
_cell_angle_alpha 90.00
_cell_angle_beta 90.00
_cell_angle_gamma 120.00
_symmetry_space_group_name_H-M 'R -3 m'
_symmetry_Int_Tables_number 166
_symmetry_space_group_name_Hall '-R 3 2"'
loop_
_atom_site_label
_atom_site_type_symbol
_atom_site_fract_x
_atom_site_fract_y
_atom_site_fract_z
Na1 Na 0.0000 0.0000 0.0000
Hg1 Hg 0.0000 0.0000 0.5000
O1 O 0.0000 0.0000 0.4006

=====

[15]
# Na2Hg3OsO6 (PBE-GGA, optimized geometry)
# Density = 8.79 g/cm³
# Formation energy from raw total energies = -9.80 eV per formula unit
# Crystal system = monoclinic
# Calculated volume = 352.8 Å³/cell
data_Na2Hg3OsO6
_chemical_formula_sum 'Na4 Hg6 Os2 O12'
_cell_length_a 5.816
_cell_length_b 10.119
_cell_length_c 6.257
_cell_angle_alpha 90.00
_cell_angle_beta 106.66
_cell_angle_gamma 90.00
_symmetry_space_group_name_H-M 'C 1 2/m 1'
_symmetry_Int_Tables_number 12
loop_
_symmetry_equiv_pos_as_xyz
'x,y,z'
'-x,-y,-z'
'-x,y,-z'
'x,-y,z'
'x+1/2,y+1/2,z'
'-x+1/2,-y+1/2,-z'
'-x+1/2,y+1/2,-z'
'x+1/2,-y+1/2,z'
loop_
_atom_site_label
_atom_site_type_symbol
_atom_site_fract_x
_atom_site_fract_y
_atom_site_fract_z
Na1 Na 0.000 0.167 0.000
Hg1 Hg 0.000 0.000 0.500
Hg2 Hg 0.000 0.335 0.500
Os1 Os 0.000 0.500 0.000
O1 O 0.189 0.367 0.192
O2 O 0.215 0.500 0.820

=====

[16]
# Na2Hg2OsO6 (PBE-GGA, optimized geometry)
# Density = 6.36 g/cm³
# Formation energy from raw total energies = -10.59 eV per formula unit
# Crystal system = monoclinic
# Calculated volume = 383.0 Å³/cell
data_Na2Hg2OsO6
_chemical_formula_sum 'Na4 Hg4 Os2 O12'
_cell_length_a 5.752
_cell_length_b 10.602
_cell_length_c 6.526
_cell_angle_alpha 90.00
_cell_angle_beta 105.73
_cell_angle_gamma 90.00
_symmetry_space_group_name_H-M 'C 1 2/m 1'
_symmetry_Int_Tables_number 12
loop_
_symmetry_equiv_pos_as_xyz
'x,y,z'
'-x,-y,-z'
'-x,y,-z'
'x,-y,z'
'x+1/2,y+1/2,z'
'-x+1/2,-y+1/2,-z'
'-x+1/2,y+1/2,-z'
'x+1/2,-y+1/2,z'
loop_
_atom_site_label
_atom_site_type_symbol
_atom_site_fract_x
_atom_site_fract_y
_atom_site_fract_z
Na1 Na 0.000 0.170 0.000
Hg1 Hg 0.000 0.362 0.500
Os1 Os 0.000 0.500 0.000
O1 O 0.073 0.355 0.823
O2 O 0.189 0.000 0.853

=====

[17]
# Na2HgOsO4 (PBE-GGA, optimized geometry)
# Density = 5.48 g/cm³
# Formation energy from raw total energies = -8.47 eV per formula unit
# Crystal system = tetragonal
# Calculated volume = 303.4 Å³/cell
data_Na2HgOsO4
_chemical_formula_sum 'Na4 Hg2 Os2 O8'
_cell_length_a 5.427
_cell_length_b 5.427
_cell_length_c 10.302
_cell_angle_alpha 90.00
_cell_angle_beta 90.00
_cell_angle_gamma 90.00
_symmetry_space_group_name_H-M 'I -4'
_symmetry_Int_Tables_number 82
loop_
_symmetry_equiv_pos_as_xyz
'x,y,z'
'y,-x,-z'
'-x,-y,z'
'-y,x,-z'
'x+1/2,y+1/2,z+1/2'
'y+1/2,-x+1/2,-z+1/2'
'-x+1/2,-y+1/2,z+1/2'
'-y+1/2,x+1/2,-z+1/2'
loop_
_atom_site_label
_atom_site_type_symbol
_atom_site_fract_x
_atom_site_fract_y
_atom_site_fract_z
Na1 Na 0.000 0.000 0.000
Na2 Na 0.000 0.500 0.250
Hg1 Hg 0.000 0.000 0.500
Os1 Os 0.000 0.500 0.750
O1 O 0.145 0.773 0.814

=====

[18]
# NaHgOsO4 (PBE-GGA, optimized geometry)
# Density = 4.91 g/cm³
# Formation energy from raw total energies = -6.89 eV per formula unit
# Crystal system = monoclinic
# Calculated volume = 323.1 Å³/cell
data_NaHgOsO4
_chemical_formula_sum 'Na2 Hg2 Os2 O8'
_cell_length_a 6.543
_cell_length_b 6.768
_cell_length_c 7.778
_cell_angle_alpha 90.00
_cell_angle_beta 110.24
_cell_angle_gamma 90.00
_symmetry_space_group_name_H-M 'P 1 21/m 1'
_symmetry_Int_Tables_number 11
loop_
_symmetry_equiv_pos_as_xyz
'x,y,z'
'-x,-y,-z'
'-x,y+1/2,-z'
'x,-y+1/2,z'
loop_
_atom_site_label
_atom_site_type_symbol
_atom_site_fract_x
_atom_site_fract_y
_atom_site_fract_z
Na1 Na 0.137 0.250 0.497
Hg1 Hg 0.046 0.750 0.107
Os1 Os 0.398 0.750 0.739
O1 O 0.220 0.546 0.651
O2 O 0.386 0.250 0.346
O3 O 0.490 0.750 0.978